1.
Compound: Y3Tm3Cu4
Source: Alexandria
Functional: GGA-PBE
Structure: optimized geometry

Its spin magnetization is 0.00 μB per formula unit. The calculation puts the energy relative to the elements at -1.69 eV/f.u. The calculated density comes out at 7.41 g cm⁻³.

The structure belongs to space group Amm2 (No. 38); the cell edges are 3.7719, 11.1332 and 10.9732 Å and the angles 90.00°, 90.00° and 90.00°. The inequivalent atoms are Y at (0.0000, 0.0000, 0.0000), Y at (0.0000, 0.1648, 0.6622), Tm at (0.0000, 0.0000, 0.3295), Tm at (0.5000, 0.2488, 0.4118), Cu at (0.5000, 0.0000, 0.5376), Cu at (0.5000, 0.0000, 0.7865) and Cu at (0.5000, 0.1214, 0.1674).

=====

2.
Compound: SmY3Sc2Te6
Source: Alexandria
Functional: GGA-PBE
Structure: optimized geometry

The formation energy (no corrections) comes out at -14.94 eV/f.u. Its spin magnetization is 0.00 μB per formula unit. The calculated density comes out at 6.19 g cm⁻³.

The structure belongs to space group C2/m (No. 12); the cell edges are 18.7981, 4.3026 and 8.6573 Å and the angles 90.00°, 102.92° and 90.00°. The inequivalent atoms are Sm at (0.0000, 0.0000, 0.0000), Y at (0.0000, 0.0000, 0.5000), Y at (0.1587, 0.5000, 0.8312), Sc at (0.1639, 0.5000, 0.3295), Te at (0.0065, 0.5000, 0.2579), Te at (0.1714, 0.0000, 0.5759) and Te at (0.1721, 0.0000, 0.0958).

=====

3.
Compound: BaCoB
Source: Alexandria
Functional: GGA-PBE
Structure: optimized geometry

Its spin magnetization is 0.00 μB per formula unit. The calculation puts the energy relative to the elements at -0.51 eV/f.u. The calculated density comes out at 5.22 g cm⁻³.

The structure belongs to space group P4/nmm (No. 129, origin choice 2); the cell edges are 3.6829, 3.6829 and 9.7209 Å and the angles 90.00°, 90.00° and 90.00°. The inequivalent atoms are Ba at (0.2500, 0.2500, 0.2203), Co at (0.2500, 0.7500, 0.5000) and B at (0.2500, 0.2500, 0.5795).

=====

4.
Compound: HfAlRe
Source: Alexandria
Functional: GGA-PBE
Structure: optimized geometry

Its spin magnetization is 0.00 μB per formula unit. The calculation puts the energy relative to the elements at -1.02 eV/f.u. The calculated density comes out at 12.69 g cm⁻³. The relative energy among the computed polymorphs comes out at 0.123 eV per atom.

The structure belongs to space group I4mm (No. 107); the cell edges are 3.3634, 3.3634 and 9.0632 Å and the angles 90.00°, 90.00° and 90.00°. The inequivalent atoms are Hf at (0.0000, 0.0000, 0.0000), Al at (0.0000, 0.0000, 0.3100) and Re at (0.0000, 0.0000, 0.6635).

=====

5.
Compound: PmPuGaRh
Source: Alexandria
Functional: GGA-PBE
Structure: optimized geometry

Its spin magnetization is 5.34 μB per formula unit. The calculation puts the energy relative to the elements at -1.58 eV/f.u. The calculated density comes out at 10.38 g cm⁻³.

The structure belongs to space group F-43m (No. 216); the cell edges are 7.1096, 7.1096 and 7.1096 Å and the angles 90.00°, 90.00° and 90.00°. The inequivalent atoms are Pm at (0.0000, 0.0000, 0.0000), Pu at (0.0000, 0.0000, 0.5000), Ga at (0.2500, 0.2500, 0.7500) and Rh at (0.2500, 0.2500, 0.2500).

=====

6.
Compound: ZnTe2O6
Source: Alexandria
Functional: GGA-PBE
Structure: optimized geometry

The formation energy (no corrections) comes out at -7.84 eV/f.u. Its spin magnetization is 0.00 μB per formula unit. The calculated density comes out at 5.23 g cm⁻³.

The structure belongs to space group C2/m (No. 12); the cell edges are 9.9658, 3.8092 and 7.4516 Å and the angles 90.00°, 110.67° and 90.00°. The inequivalent atoms are Zn at (0.0000, 0.0000, 0.0000), Te at (0.1918, 0.0000, 0.6907), O at (0.0252, 0.0000, 0.7507), O at (0.1483, 0.5000, 0.0828) and O at (0.1893, 0.5000, 0.6014).

=====

7.
Compound: AsCSeBr2
Source: Alexandria
Functional: GGA-PBE
Structure: optimized geometry

The formation energy (no corrections) comes out at 9.03 eV/f.u. Its spin magnetization is 0.14 μB per formula unit. The calculated density comes out at 3.64 g cm⁻³. The relative energy among the computed polymorphs comes out at 0.548 eV per atom.

The structure belongs to space group P4/mmm (No. 123); the cell edges are 5.2207, 5.2207 and 5.4491 Å and the angles 90.00°, 90.00° and 90.00°. The inequivalent atoms are As at (0.0000, 0.0000, 0.0000), C at (0.5000, 0.5000, 0.0000), Se at (0.0000, 0.0000, 0.5000) and Br at (0.0000, 0.5000, 0.5000).

=====

8.
Compound: SmTmTh2Te5
Source: Alexandria
Functional: GGA-PBE
Structure: optimized geometry

The formation energy (no corrections) comes out at -5.12 eV/f.u. Its spin magnetization is 0.00 μB per formula unit. The calculated density comes out at 6.98 g cm⁻³.

The structure belongs to space group P4/mmm (No. 123); the cell edges are 5.3782, 5.3782 and 11.6851 Å and the angles 90.00°, 90.00° and 90.00°. The inequivalent atoms are Sm at (0.0000, 0.0000, 0.0000), Tm at (0.0000, 0.0000, 0.5000), Th at (0.5000, 0.5000, 0.3394), Te at (0.0000, 0.0000, 0.2501), Te at (0.0000, 0.5000, 0.5000) and Te at (0.5000, 0.5000, 0.0000).

=====

9.
Compound: Tb3PmPb
Source: Alexandria
Functional: GGA-PBE
Structure: optimized geometry

Its spin magnetization is 0.00 μB per formula unit. The calculation puts the energy relative to the elements at -0.76 eV/f.u. The calculated density comes out at 8.59 g cm⁻³.

The structure belongs to space group P2_1/c (No. 14); the cell edges are 8.8046, 8.7658 and 9.7353 Å and the angles 90.00°, 121.45° and 90.00°. The inequivalent atoms are Tb at (0.0876, 0.1943, 0.0499), Tb at (0.2358, 0.5651, 0.9560), Tb at (0.4072, 0.5940, 0.7003), Pm at (0.1975, 0.5658, 0.2913) and Pb at (0.3995, 0.2464, 0.9581).

=====

10.
Compound: La4CuAg3
Source: Alexandria
Functional: GGA-PBE
Structure: optimized geometry

Its spin magnetization is 0.00 μB per formula unit. The calculation puts the energy relative to the elements at -1.82 eV/f.u. The calculated density comes out at 7.22 g cm⁻³.

The structure belongs to space group P4/mmm (No. 123); the cell edges are 3.7763, 3.7763 and 15.2135 Å and the angles 90.00°, 90.00° and 90.00°. The inequivalent atoms are La at (0.0000, 0.0000, 0.1142), La at (0.0000, 0.0000, 0.3719), Cu at (0.5000, 0.5000, 0.0000), Ag at (0.5000, 0.5000, 0.2442) and Ag at (0.5000, 0.5000, 0.5000).

=====

11.
Compound: Mn2TcAu
Source: Alexandria
Functional: GGA-PBE
Structure: optimized geometry

Its spin magnetization is 5.06 μB per formula unit. The calculation puts the energy relative to the elements at 1.53 eV/f.u. The calculated density comes out at 11.17 g cm⁻³.

The structure belongs to space group F-43m (No. 216); the cell edges are 6.2210, 6.2210 and 6.2210 Å and the angles 90.00°, 90.00° and 90.00°. The inequivalent atoms are Mn at (0.0000, 0.0000, 0.0000), Mn at (0.2500, 0.2500, 0.2500), Tc at (0.0000, 0.0000, 0.5000) and Au at (0.2500, 0.2500, 0.7500).

=====

12.
Compound: Li2TmScTl4
Source: Alexandria
Functional: GGA-PBE
Structure: optimized geometry

Its spin magnetization is 0.00 μB per formula unit. The calculation puts the energy relative to the elements at -2.18 eV/f.u. The calculated density comes out at 9.34 g cm⁻³.

The structure belongs to space group R-3m (No. 166, hexagonal axes); the cell edges are 5.0882, 5.0882 and 24.8715 Å and the angles 90.00°, 90.00° and 120.00°. The inequivalent atoms are Li at (0.0000, 0.0000, 0.2502), Tm at (0.0000, 0.0000, 0.5000), Sc at (0.0000, 0.0000, 0.0000), Tl at (0.0000, 0.0000, 0.1225) and Tl at (0.0000, 0.0000, 0.3729).